# Cs3Cu5O4 PBEsol optimized geometry
data_Cs3Cu5O4
_chemical_formula_sum 'Cs12 Cu20 O16'
_cell_length_a 10.2738
_cell_length_b 7.3332
_cell_length_c 14.5147
_cell_angle_alpha 90.00
_cell_angle_beta 106.48
_cell_angle_gamma 90.00
_symmetry_space_group_name_H-M 'P 1 21/c 1'
_symmetry_Int_Tables_number 14
_symmetry_space_group_name_Hall '-P 2ybc'
loop_
_atom_site_label
_atom_site_fract_x
_atom_site_fract_y
_atom_site_fract_z
Cs1 0.1061 0.1718 0.0950
Cs2 0.2743 0.7014 0.0847
Cs3 0.3192 0.0851 0.8899
Cu1 0.0648 0.6810 0.7411
Cu2 0.0692 0.0723 0.3737
Cu3 0.2955 0.5653 0.8591
Cu4 0.4293 0.0471 0.2336
Cu5 0.4707 0.2015 0.6247
O1 0.0060 0.2031 0.8869
O2 0.1367 0.6603 0.8716
O3 0.3983 0.0725 0.1052
O4 0.4604 0.0313 0.3633
# - magnetization (Bohr magnetons per cell) = 0.0
# - DOS at the Fermi energy (states/eV/f.u.) = 0.00
# - formation energy from raw total energies (eV/atom) = -0.827
# - DFT total energy (eV/atom) = -4.62